# CdP2N2

A geometry-optimized CdP2N2 structure (PBE-GGA, Alexandria via LeMat-Bulk).

Relative energy among the computed polymorphs (meV per atom): 0
Formation energy (no corrections) (meV/atom): 332
Crystal system: tetragonal
Total energy (eV per atom): -5.34

POSCAR file:
```
CdP2N2
1.0
-0.0703 -6.0022 -7.1001
6.8022 -4.8733 4.0524
-1.8343 -1.4946 1.2816
N P Cd
4 4 2
Direct
0.7358 0.7642 0.0000
0.7642 0.2642 0.0000
0.2358 0.7358 0.0000
0.2642 0.2358 0.0000
0.1624 0.6624 0.5000
0.8376 0.3376 0.5000
0.3376 0.1624 0.5000
0.6624 0.8376 0.5000
0.0000 0.0000 0.0000
0.5000 0.5000 0.0000
```

***

# LaP4Se

A geometry-optimized LaP4Se structure (PBE-GGA, Alexandria via LeMat-Bulk).

Formation energy (no corrections) (meV/atom): -325
Crystal system: cubic
Total energy (eV per atom): -5.33

POSCAR file:
```
LaP4Se
1.0
4.8067 -2.0266 1.7920
0.0819 -3.6768 4.1106
1.3319 -5.2534 -1.0251
Se P La
1 4 1
Direct
0.7500 0.7500 0.7500
0.3962 0.3962 0.3962
0.3962 0.8115 0.3962
0.3962 0.3962 0.8115
0.8115 0.3962 0.3962
0.0000 0.0000 0.0000
```

***

# Y4PdS3

A geometry-optimized Y4PdS3 structure (PBE-GGA, Alexandria via LeMat-Bulk).

Formation energy (no corrections) (meV/atom): -1676
Crystal system: orthorhombic
Total energy (eV per atom): -7.10

POSCAR file:
```
Y4PdS3
1.0
-1.4451 2.3390 -2.7719
-5.9190 -3.5812 0.0640
-0.4592 5.1559 4.5901
Pd S Y
1 3 4
Direct
0.5000 0.0000 0.0000
0.0000 0.5000 0.0000
0.5000 0.5000 0.5000
0.0000 0.0000 0.5000
0.0000 0.2539 0.2539
0.5000 0.2540 0.7460
0.5000 0.7460 0.2540
0.0000 0.7461 0.7461
```

***

# Y3ScSb2

A geometry-optimized Y3ScSb2 structure (PBE-GGA, Alexandria via LeMat-Bulk).

Relative energy among the computed polymorphs (meV per atom): 21
Formation energy (no corrections) (meV/atom): -828
Crystal system: orthorhombic
Total energy (eV per atom): -6.49

POSCAR file:
```
Y3ScSb2
1.0
-0.8334 3.5682 -2.3582
-1.8411 -2.5395 -3.1920
-6.1034 0.2043 6.4913
Sb Y Sc
2 3 1
Direct
0.6350 0.1346 0.2700
0.3650 0.8654 0.7300
0.1772 0.6768 0.3545
0.5000 0.5000 0.0000
0.8228 0.3232 0.6455
0.0000 0.0000 0.0000
```

***

# Dy5TmHg4

A geometry-optimized Dy5TmHg4 structure (PBE-GGA, Alexandria via LeMat-Bulk).

Calculated formation energy (kcal/mol of atoms): -8.468
Crystal system: tetragonal
Total energy (eV per atom): -3.24

POSCAR file:
```
Dy5TmHg4
1.0
3.6648 0.0000 0.0000
0.0000 3.6648 0.0000
0.0000 0.0000 20.0929
Dy Hg Tm
5 4 1
Direct
0.5000 0.5000 0.1200
0.5000 0.5000 0.8800
0.5000 0.5000 0.5000
0.5000 0.5000 0.6890
0.5000 0.5000 0.3110
0.0000 0.0000 0.2138
0.0000 0.0000 0.7862
0.0000 0.0000 0.4052
0.0000 0.0000 0.5948
0.0000 0.0000 0.0000
```

***

# Tb2ErZn2

A geometry-optimized Tb2ErZn2 structure (PBE-GGA, Alexandria via LeMat-Bulk).

Relative energy among the computed polymorphs (meV per atom): 0
Calculated formation energy (kcal/mol of atoms): -6.142
Crystal system: orthorhombic
Total energy (eV per atom): -3.54

POSCAR file:
```
Tb2ErZn2
1.0
-1.9141 -2.7720 -1.2933
-1.1712 -1.4208 4.7787
-9.8209 9.0124 0.2727
Tb Er Zn
4 2 4
Direct
0.2318 0.7500 0.4647
0.9539 0.2500 0.9084
0.0461 0.7500 0.0916
0.7682 0.2500 0.5353
0.1437 0.2500 0.2872
0.8563 0.7500 0.7128
0.5506 0.2500 0.1015
0.3607 0.2500 0.7211
0.4494 0.7500 0.8985
0.6393 0.7500 0.2789
```

***

# CsScRu2

A geometry-optimized CsScRu2 structure (PBE-GGA, Alexandria via LeMat-Bulk).

Calculated formation energy (kcal/mol of atoms): 25.547
Crystal system: cubic
Total energy (eV per atom): -5.33

POSCAR file:
```
CsScRu2
1.0
-1.2388 -4.0167 2.3543
-3.2853 -2.9792 -1.8821
1.3439 -4.3019 -1.7028
Ru Cs Sc
2 1 1
Direct
0.2500 0.2500 0.2500
0.7500 0.7500 0.7500
0.5000 0.5000 0.5000
0.0000 0.0000 0.0000
```

***

# CaGdHo2

A geometry-optimized CaGdHo2 structure (PBE-GGA, Alexandria via LeMat-Bulk).

Relative energy among the computed polymorphs (meV per atom): 0
Calculated formation energy (kcal/mol of atoms): 3.117
Crystal system: tetragonal
Total energy (eV per atom): -6.17

POSCAR file:
```
CaGdHo2
1.0
5.1197 0.0000 0.0000
0.0000 5.0951 0.0000
0.0000 0.0000 5.0951
Ho Gd Ca
2 1 1
Direct
0.0000 0.5000 0.0000
0.0000 0.0000 0.5000
0.5000 0.5000 0.5000
0.5000 0.0000 0.0000
```

***

# LaIn3Ga3

A geometry-optimized LaIn3Ga3 structure (PBE-GGA, Alexandria via LeMat-Bulk).

Calculated formation energy (kcal/mol of atoms): 3.209
Crystal system: cubic
Total energy (eV per atom): -3.04

POSCAR file:
```
LaIn3Ga3
1.0
-5.0290 -5.0207 2.2294
5.0344 -5.4217 -0.8535
2.1983 0.9307 7.0548
Ga In La
6 6 2
Direct
0.0000 0.2500 0.5000
0.5000 0.0000 0.7500
0.7500 0.5000 0.0000
0.5000 0.0000 0.2500
0.2500 0.5000 0.0000
0.0000 0.7500 0.5000
0.0000 0.5000 0.2500
0.0000 0.5000 0.7500
0.2500 0.0000 0.5000
0.5000 0.7500 0.0000
0.5000 0.2500 0.0000
0.7500 0.0000 0.5000
0.5000 0.5000 0.5000
0.0000 0.0000 0.0000
```

***

# BaV2Cu2

A geometry-optimized BaV2Cu2 structure (PBE-GGA, Alexandria via LeMat-Bulk).

Relative energy among the computed polymorphs (meV per atom): 0
Calculated formation energy (kcal/mol of atoms): 11.652
Crystal system: tetragonal
Total energy (eV per atom): -5.17

POSCAR file:
```
BaV2Cu2
1.0
-1.3675 -0.7671 -3.3317
2.9530 -2.0734 -0.7347
-2.6764 -7.3494 0.7558
V Ba Cu
2 1 2
Direct
0.2500 0.7500 0.5000
0.7500 0.2500 0.5000
0.0000 0.0000 0.0000
0.3678 0.3678 0.2645
0.6322 0.6322 0.7355
```

***

# BaTaAu2Cl

A geometry-optimized BaTaAu2Cl structure (PBE-GGA, Alexandria via LeMat-Bulk).

Formation energy (no corrections) (meV/atom): 558
Crystal system: tetragonal
Total energy (eV per atom): -3.88

POSCAR file:
```
BaTaAu2Cl
1.0
5.6752 0.0000 0.0000
0.0000 4.5150 0.0000
0.0000 0.0000 5.6752
Au Cl Ba Ta
2 1 1 1
Direct
0.0000 0.0000 0.5000
0.5000 0.0000 0.0000
0.0000 0.0000 0.0000
0.5000 0.5000 0.5000
0.0000 0.5000 0.0000
```

***

# Tb2Sc3Pt4

A geometry-optimized Tb2Sc3Pt4 structure (PBE-GGA, Alexandria via LeMat-Bulk).

Relative energy among the computed polymorphs (meV per atom): 116
Calculated formation energy (kcal/mol of atoms): -24.783
Crystal system: orthorhombic
Total energy (eV per atom): -6.90

POSCAR file:
```
Tb2Sc3Pt4
1.0
-3.9528 0.6915 4.5256
5.0759 -2.4571 4.8089
4.6859 7.5283 -1.0994
Pt Sc Tb
8 6 4
Direct
0.3313 0.4596 0.6625
0.8313 0.0404 0.6625
0.6832 0.7500 0.8664
0.1832 0.7500 0.8664
0.3168 0.2500 0.1336
0.1687 0.9596 0.3375
0.8168 0.2500 0.1336
0.6687 0.5404 0.3375
0.5000 0.5000 0.0000
0.4816 0.2500 0.4631
0.9816 0.2500 0.4631
0.0000 0.0000 0.0000
0.0184 0.7500 0.5369
0.5184 0.7500 0.5369
0.9024 0.4094 0.8047
0.0976 0.5906 0.1953
0.4024 0.0906 0.8047
0.5976 0.9094 0.1953
```

***

> total energy of number 7 (CsScRu2)?

-5.33 eV per atom

***

> Among the records above, which one has the highest total energy?

LaIn3Ga3

***

> What is the total energy in the second record?

-5.33 eV per atom